This record from Alexandria describes crystalline Na3Tb2ThSe6 at its relaxed geometry. The functional is GGA-PBE.

Cell lengths 18.536, 4.153, 8.571 Å; angles 90.00, 105.24, 90.00 degrees
Space group C2/m (No. 12)
Unique sites:
Na: 0.000 0.000 0.000 (multiplicity 2)
Na: 0.168 0.500 0.331 (multiplicity 4)
Tb: 0.169 0.500 0.838 (multiplicity 4)
Th: 0.000 0.000 0.500 (multiplicity 2)
Se: 0.004 0.500 0.749 (multiplicity 4)
Se: 0.164 0.000 0.595 (multiplicity 4)
Se: 0.170 0.000 0.074 (multiplicity 4)

Volume (Å³ per atom): 26.53
Magnetic moment (Bohr magnetons per cell): 0.00
Fermi-level density of states (states/eV per cell): 8.10
E_form (uncorrected) (eV per atom): -1.625